[1]
Density functional theory data (PBE) for crystalline Zr2BeAs at its relaxed geometry.

extended XYZ file:
```
8
Lattice="-3.553 3.553 2.959 3.553 -3.553 2.959 3.553 3.553 -2.959" Properties=species:S:1:pos:R:3 pbc="T T T"
Zr 5.330 1.721 -0.740
Zr 1.721 1.777 0.740
Zr -1.777 1.832 2.220
Zr 1.832 1.777 3.699
Be 0.000 0.000 0.000
Be 0.000 3.553 1.480
As 3.553 0.000 1.480
As 0.000 0.000 2.959
```

## Properties
Energy of formation (eV per formula unit): -1.006
VASP energy (eV per cell): -52.96
Offset from the most stable computed form (eV/f.u.): 2.17
Total magnetization (μB/cell): 0.1

***

[2]
Density functional theory data (PBE) for crystalline SrLa2Tl at its relaxed geometry.

extended XYZ file:
```
8
Lattice="-4.766 4.766 3.462 4.766 -4.766 3.462 4.766 4.766 -3.462" Properties=species:S:1:pos:R:3 pbc="T T T"
Sr 0.000 0.000 0.000
Sr 0.000 4.766 1.731
La 2.383 -1.940 2.596
La 2.827 2.383 0.865
La 2.383 6.706 -0.865
La 1.940 2.383 4.327
Tl 4.766 0.000 1.731
Tl 0.000 0.000 3.462
```

## Properties
Energy of formation (eV per formula unit): 0.108
VASP energy (eV per cell): -27.59
Offset from the most stable computed form (eV/f.u.): 0.82
Total magnetization (μB/cell): 0.0

***

[3]
Density functional theory data (PBE) for crystalline NaCaAsAu at its relaxed geometry.

extended XYZ file:
```
4
Lattice="0.000 3.560 3.560 3.560 0.000 3.560 3.560 3.560 0.000" Properties=species:S:1:pos:R:3 pbc="T T T"
Na 0.000 0.000 0.000
Ca 3.560 3.560 3.560
As 1.780 1.780 1.780
Au 5.339 5.339 5.339
```

## Properties
Energy of formation (eV per formula unit): -2.384
VASP energy (eV per cell): -13.63
Total magnetization (μB/cell): 0.0

***

[4]
Density functional theory data (PBE) for crystalline MgHgI2N at its relaxed geometry.

extended XYZ file:
```
5
Lattice="5.938 0.000 0.000 0.000 5.938 0.000 0.000 0.000 4.135" Properties=species:S:1:pos:R:3 pbc="T T T"
Mg 0.000 0.000 0.000
Hg 2.969 2.969 2.067
I 0.000 2.969 0.000
I 2.969 0.000 0.000
N 0.000 0.000 2.067
```

## Properties
VASP energy (eV per cell): -11.96
Formation energy (no corrections) (eV per atom): 0.273
Offset from the most stable computed form (eV/f.u.): 0.19
Total magnetization (μB/cell): 2.0

***

[5]
Density functional theory data (PBE) for crystalline PuGa6Sn at its relaxed geometry.

extended XYZ file:
```
8
Lattice="6.431 0.000 0.000 0.000 6.431 0.000 0.000 0.000 3.975" Properties=species:S:1:pos:R:3 pbc="T T T"
Pu 0.000 0.000 0.000
Ga 0.000 3.216 0.000
Ga 1.645 1.645 1.987
Ga 1.645 4.786 1.987
Ga 3.216 0.000 0.000
Ga 4.786 1.645 1.987
Ga 4.786 4.786 1.987
Sn 3.216 3.216 0.000
```

## Properties
Energy of formation (eV per formula unit): -0.806
VASP energy (eV per cell): -37.30
Total magnetization (μB/cell): 6.1

***

[6]
Density functional theory data (PBE) for crystalline Re6Mo7 at its relaxed geometry.

extended XYZ file:
```
13
Lattice="2.543 1.468 9.169 -2.543 1.468 9.169 0.000 -2.936 9.169" Properties=species:S:1:pos:R:3 pbc="T T T"
Re 0.000 0.000 1.240
Re 0.000 0.000 4.175
Re 0.000 0.000 9.150
Re 0.000 0.000 18.358
Re 0.000 0.000 23.333
Re 0.000 0.000 26.268
Mo -1.281 -0.739 11.593
Mo 0.000 -1.479 15.915
Mo -1.281 0.739 15.915
Mo 0.000 0.000 13.754
Mo 1.281 -0.739 11.593
Mo 0.000 1.479 11.593
Mo 1.281 0.739 15.915
```

## Properties
Energy of formation (eV per formula unit): 4.102
VASP energy (eV per cell): -146.40
Total magnetization (μB/cell): 0.0

***

Question: What is the formula in the second record?
Answer: SrLa2Tl

***

Copy entry 1 word for word.
Density functional theory data (PBE) for crystalline Zr2BeAs at its relaxed geometry.

extended XYZ file:
```
8
Lattice="-3.553 3.553 2.959 3.553 -3.553 2.959 3.553 3.553 -2.959" Properties=species:S:1:pos:R:3 pbc="T T T"
Zr 5.330 1.721 -0.740
Zr 1.721 1.777 0.740
Zr -1.777 1.832 2.220
Zr 1.832 1.777 3.699
Be 0.000 0.000 0.000
Be 0.000 3.553 1.480
As 3.553 0.000 1.480
As 0.000 0.000 2.959
```

## Properties
Energy of formation (eV per formula unit): -1.006
VASP energy (eV per cell): -52.96
Offset from the most stable computed form (eV/f.u.): 2.17
Total magnetization (μB/cell): 0.1

***

What did the sixth record say?
Density functional theory data (PBE) for crystalline Re6Mo7 at its relaxed geometry.

extended XYZ file:
```
13
Lattice="2.543 1.468 9.169 -2.543 1.468 9.169 0.000 -2.936 9.169" Properties=species:S:1:pos:R:3 pbc="T T T"
Re 0.000 0.000 1.240
Re 0.000 0.000 4.175
Re 0.000 0.000 9.150
Re 0.000 0.000 18.358
Re 0.000 0.000 23.333
Re 0.000 0.000 26.268
Mo -1.281 -0.739 11.593
Mo 0.000 -1.479 15.915
Mo -1.281 0.739 15.915
Mo 0.000 0.000 13.754
Mo 1.281 -0.739 11.593
Mo 0.000 1.479 11.593
Mo 1.281 0.739 15.915
```

## Properties
Energy of formation (eV per formula unit): 4.102
VASP energy (eV per cell): -146.40
Total magnetization (μB/cell): 0.0